CsMg3Cl: relaxed, PBE.

Values from the calculation:
As for the space group: No. 221. For the energy relative to the lowest polymorph listed for this composition, the calculation gives 491 meV/atom.

Cell lengths 7.5747, 7.5747, 7.5747 Å; angles 90.00, 90.00, 90.00 degrees
Sites, in units of the cell vectors:
Cs 0.0000 0.0000 0.0000
Mg 0.0000 0.0000 0.5000
Mg 0.0000 0.5000 0.0000
Mg 0.5000 0.0000 0.0000
Cl 0.5000 0.5000 0.5000


CsMgCl3: relaxed, PBE.

Values from the calculation:
As for the space group: No. 194. The value obtained for the total energy is -3.562 eV/atom.

Cell lengths 7.4568, 7.4568, 6.2653 Å; angles 90.00, 90.00, 120.00 degrees
Sites, in units of the cell vectors:
Cs 0.3333 0.6667 0.2500
Cs 0.6667 0.3333 0.7500
Mg 0.0000 0.0000 0.0000
Mg 0.0000 0.0000 0.5000
Cl 0.1529 0.3058 0.7500
Cl 0.1529 0.8471 0.7500
Cl 0.3058 0.1529 0.2500
Cl 0.6942 0.8471 0.7500
Cl 0.8471 0.1529 0.2500
Cl 0.8471 0.6942 0.2500


CsMg2Cl: relaxed, PBE.

Values from the calculation:
As for the space group: No. 225. The value obtained for the total energy is -1.579 eV/atom.

Cell lengths 8.7093, 8.7093, 8.7093 Å; angles 90.00, 90.00, 90.00 degrees
Sites, in units of the cell vectors:
Cs 0.0000 0.0000 0.0000
Cs 0.0000 0.5000 0.5000
Cs 0.5000 0.0000 0.5000
Cs 0.5000 0.5000 0.0000
Mg 0.2500 0.2500 0.2500
Mg 0.2500 0.2500 0.7500
Mg 0.2500 0.7500 0.2500
Mg 0.2500 0.7500 0.7500
Mg 0.7500 0.2500 0.2500
Mg 0.7500 0.2500 0.7500
Mg 0.7500 0.7500 0.2500
Mg 0.7500 0.7500 0.7500
Cl 0.0000 0.0000 0.5000
Cl 0.0000 0.5000 0.0000
Cl 0.5000 0.0000 0.0000
Cl 0.5000 0.5000 0.5000


Cs3Mg5Cl12: relaxed, PBE.

Values from the calculation:
As for the space group: No. 230. The value obtained for the total energy is -3.390 eV/atom.

Cell lengths 14.7769, 14.7769, 14.7769 Å; angles 109.47, 109.47, 109.47 degrees
Sites, in units of the cell vectors:
Cs 0.1250 0.2500 0.3750
Cs 0.1250 0.3750 0.7500
Cs 0.2500 0.3750 0.1250
Cs 0.2500 0.8750 0.6250
Cs 0.3750 0.1250 0.2500
Cs 0.3750 0.7500 0.1250
Cs 0.6250 0.2500 0.8750
Cs 0.6250 0.8750 0.7500
Cs 0.7500 0.1250 0.3750
Cs 0.7500 0.6250 0.8750
Cs 0.8750 0.6250 0.2500
Cs 0.8750 0.7500 0.6250
Mg 0.0000 0.0000 0.0000
Mg 0.0000 0.0000 0.5000
Mg 0.0000 0.5000 0.0000
Mg 0.0000 0.5000 0.5000
Mg 0.1250 0.7500 0.8750
Mg 0.1250 0.8750 0.2500
Mg 0.2500 0.1250 0.8750
Mg 0.2500 0.6250 0.3750
Mg 0.3750 0.2500 0.6250
Mg 0.3750 0.6250 0.7500
Mg 0.5000 0.0000 0.0000
Mg 0.5000 0.0000 0.5000
Mg 0.5000 0.5000 0.0000
Mg 0.5000 0.5000 0.5000
Mg 0.6250 0.3750 0.2500
Mg 0.6250 0.7500 0.3750
Mg 0.7500 0.3750 0.6250
Mg 0.7500 0.8750 0.1250
Mg 0.8750 0.1250 0.7500
Mg 0.8750 0.2500 0.1250
Cl 0.0022 0.1866 0.1032
Cl 0.0022 0.3156 0.8989
Cl 0.0833 0.6866 0.6844
Cl 0.0833 0.8968 0.3989
Cl 0.1011 0.6032 0.4167
Cl 0.1011 0.9978 0.6844
Cl 0.1032 0.0022 0.1866
Cl 0.1032 0.6011 0.9167
Cl 0.1844 0.1866 0.5833
Cl 0.1844 0.4978 0.6011
Cl 0.1866 0.1032 0.0022
Cl 0.1866 0.5833 0.1844
Cl 0.3134 0.3156 0.9167
Cl 0.3134 0.4978 0.3968
Cl 0.3156 0.8989 0.0022
Cl 0.3156 0.9167 0.3134
Cl 0.3968 0.3134 0.4978
Cl 0.3968 0.5833 0.8989
Cl 0.3989 0.0833 0.8968
Cl 0.3989 0.8156 0.5022
Cl 0.4167 0.1011 0.6032
Cl 0.4167 0.8156 0.8134
Cl 0.4978 0.3968 0.3134
Cl 0.4978 0.6011 0.1844
Cl 0.5022 0.3989 0.8156
Cl 0.5022 0.6032 0.6866
Cl 0.5833 0.1844 0.1866
Cl 0.5833 0.8989 0.3968
Cl 0.6011 0.1844 0.4978
Cl 0.6011 0.9167 0.1032
Cl 0.6032 0.4167 0.1011
Cl 0.6032 0.6866 0.5022
Cl 0.6844 0.0833 0.6866
Cl 0.6844 0.1011 0.9978
Cl 0.6866 0.5022 0.6032
Cl 0.6866 0.6844 0.0833
Cl 0.8134 0.4167 0.8156
Cl 0.8134 0.8968 0.9978
Cl 0.8156 0.5022 0.3989
Cl 0.8156 0.8134 0.4167
Cl 0.8968 0.3989 0.0833
Cl 0.8968 0.9978 0.8134
Cl 0.8989 0.0022 0.3156
Cl 0.8989 0.3968 0.5833
Cl 0.9167 0.1032 0.6011
Cl 0.9167 0.3134 0.3156
Cl 0.9978 0.6844 0.1011
Cl 0.9978 0.8134 0.8968


CsMgCl3: relaxed, PBE.

Values from the calculation:
As for the space group: No. 65. The value obtained for the total energy is -3.511 eV/atom.

Cell lengths 8.2980, 8.2980, 5.0760 Å; angles 90.00, 90.00, 127.70 degrees
Sites, in units of the cell vectors:
Cs 0.1355 0.8645 0.0000
Cs 0.8645 0.1355 0.0000
Mg 0.3762 0.6238 0.5000
Mg 0.6238 0.3762 0.5000
Cl 0.0000 0.5000 0.5000
Cl 0.2645 0.2645 0.5000
Cl 0.3676 0.6324 0.0000
Cl 0.5000 0.0000 0.5000
Cl 0.6324 0.3676 0.0000
Cl 0.7355 0.7355 0.5000


CsMgCl3: relaxed, PBE.

Values from the calculation:
As for the space group: No. 185. The value obtained for the total energy is -3.562 eV/atom.

Cell lengths 12.9251, 12.9251, 6.2739 Å; angles 90.00, 90.00, 120.00 degrees
Sites, in units of the cell vectors:
Cs 0.0000 0.3336 0.0000
Cs 0.0000 0.6664 0.5000
Cs 0.3336 0.0000 0.0000
Cs 0.3336 0.3336 0.5000
Cs 0.6664 0.0000 0.5000
Cs 0.6664 0.6664 0.0000
Mg 0.0000 0.0000 0.2264
Mg 0.0000 0.0000 0.7264
Mg 0.3333 0.6667 0.2690
Mg 0.3333 0.6667 0.7690
Mg 0.6667 0.3333 0.2690
Mg 0.6667 0.3333 0.7690
Cl 0.0000 0.1527 0.4764
Cl 0.0000 0.8473 0.9764
Cl 0.1527 0.0000 0.4764
Cl 0.1527 0.1527 0.9764
Cl 0.1805 0.5140 0.5186
Cl 0.1805 0.6665 0.0186
Cl 0.3335 0.5140 0.0186
Cl 0.3335 0.8195 0.5186
Cl 0.4860 0.6665 0.5186
Cl 0.4860 0.8195 0.0186
Cl 0.5140 0.1805 0.5186
Cl 0.5140 0.3335 0.0186
Cl 0.6665 0.1805 0.0186
Cl 0.6665 0.4860 0.5186
Cl 0.8195 0.3335 0.5186
Cl 0.8195 0.4860 0.0186
Cl 0.8473 0.0000 0.9764
Cl 0.8473 0.8473 0.4764


Cs2MgCl3: relaxed, PBE.

Values from the calculation:
As for the space group: No. 71. The value obtained for the total energy is -3.062 eV/atom.

Cell lengths 4.9053, 5.2346, 17.3753 Å; angles 90.00, 90.00, 90.00 degrees
Sites, in units of the cell vectors:
Cs 0.0000 0.0000 0.1439
Cs 0.0000 0.0000 0.8561
Cs 0.5000 0.5000 0.3561
Cs 0.5000 0.5000 0.6439
Mg 0.0000 0.0000 0.5000
Mg 0.5000 0.5000 0.0000
Cl 0.0000 0.0000 0.3528
Cl 0.0000 0.0000 0.6472
Cl 0.0000 0.5000 0.5000
Cl 0.5000 0.0000 0.0000
Cl 0.5000 0.5000 0.1472
Cl 0.5000 0.5000 0.8528


Cs4Mg3Cl10: relaxed, PBE.

Values from the calculation:
As for the space group: No. 139. The value obtained for the total energy is -3.505 eV/atom.

Cell lengths 19.1588, 19.1588, 19.1588 Å; angles 164.56, 164.56, 21.90 degrees
Sites, in units of the cell vectors:
Cs 0.0677 0.0677 0.0000
Cs 0.2012 0.2012 0.0000
Cs 0.7988 0.7988 0.0000
Cs 0.9323 0.9323 0.0000
Mg 0.3627 0.3627 0.0000
Mg 0.5000 0.5000 0.0000
Mg 0.6373 0.6373 0.0000
Cl 0.0000 0.5000 0.5000
Cl 0.1355 0.6355 0.5000
Cl 0.2966 0.2966 0.0000
Cl 0.3645 0.8645 0.5000
Cl 0.4322 0.4322 0.0000
Cl 0.5000 0.0000 0.5000
Cl 0.5678 0.5678 0.0000
Cl 0.6355 0.1355 0.5000
Cl 0.7034 0.7034 0.0000
Cl 0.8645 0.3645 0.5000


Size of the total moment: 0.00; 0.00; 0.00; 0.00; 0.00; 0.00; 1.48; 0.00 (μB/cell)
Calculated volume: 434.61; 301.70; 660.61; 2483.86; 276.55; 907.68; 446.15; 498.35 (Å³ per cell)